Record 1
SrLi2Bi2 at its PBEsol-relaxed geometry. Source: the Alexandria database, functional SCAN.

Summary:
**E above lowest polymorph**: 0.0 kJ per mole of atoms
**Energy relative to the elements**: -673 meV/atom
**Space-group type**: I4/mmm, No. 139
**ρ**: 6.44 g cm⁻³

Cell: 6.952 6.952 6.952 Å, 140.67 140.67 56.84°
Fractional coordinates of all 5 atoms:
Sr 0.000 0.000 0.000
Li 0.250 0.750 0.500
Li 0.750 0.250 0.500
Bi 0.376 0.376 0.000
Bi 0.624 0.624 0.000

=====

Record 2
Ba2NCl at its PBEsol-relaxed geometry. Source: the Alexandria database, functional SCAN.

Summary:
**E_form (uncorrected)**: -1.406 eV per atom
**Space-group type**: I-42d, No. 122
**ρ**: 4.41 g cm⁻³

Cell: 6.872 6.872 6.872 Å, 114.87 114.87 99.14°
Fractional coordinates of all 8 atoms:
Ba 0.060 0.625 0.935
Ba 0.375 0.310 0.435
Ba 0.690 0.125 0.065
Ba 0.875 0.940 0.565
N 0.000 0.000 0.000
N 0.750 0.250 0.500
Cl 0.250 0.750 0.500
Cl 0.500 0.500 0.000

=====

Record 3
SiNiIr2 at its PBEsol-relaxed geometry. Source: the Alexandria database, functional SCAN.

Summary:
**E_form (uncorrected)**: -0.284 eV per atom
**Space-group type**: Imm2, No. 44
**ρ**: 15.44 g cm⁻³

Cell: 5.022 5.022 5.022 Å, 147.36 131.52 59.67°
Fractional coordinates of all 4 atoms:
Si 0.000 0.000 0.000
Ni 0.793 0.293 0.500
Ir 0.225 0.725 0.500
Ir 0.503 0.503 0.000

=====

Among the records above, which one has the highest ρ? SiNiIr2